Record 1
Rb3AcNp2Se6 | PBE | optimized geometry

a = 7.6493 Å, b = 7.6493 Å, c = 8.4109 Å
α = 98.74°, β = 98.74°, γ = 120.00°
Atoms (fractional coordinates):
Rb 0.0000 0.0000 0.0000
Rb 0.3359 0.6641 0.0000
Rb 0.6641 0.3359 0.0000
Ac 0.5000 0.5000 0.5000
Np 0.1669 0.8331 0.5000
Np 0.8331 0.1669 0.5000
Se 0.0836 0.4331 0.3001
Se 0.2170 0.2170 0.6994
Se 0.4331 0.0836 0.3001
Se 0.5669 0.9164 0.6999
Se 0.7830 0.7830 0.3006
Se 0.9164 0.5669 0.6999

Calculated values
For the formation energy without anion corrections, the calculation gives -1407 meV per atom. The calculation puts the calculated total energy at -70.7 eV per cell. As for the magnetic moment: 8.00 μB/f.u.

=====

Record 2
Rb3Ac2NpSe6 | PBE | optimized geometry

a = 7.8476 Å, b = 7.8476 Å, c = 8.4294 Å
α = 98.94°, β = 98.94°, γ = 120.00°
Atoms (fractional coordinates):
Rb 0.0000 0.0000 0.0000
Rb 0.3320 0.6680 0.0000
Rb 0.6680 0.3320 0.0000
Ac 0.1665 0.8335 0.5000
Ac 0.8335 0.1665 0.5000
Np 0.5000 0.5000 0.5000
Se 0.1124 0.4323 0.2967
Se 0.2483 0.2483 0.7033
Se 0.4323 0.1124 0.2967
Se 0.5677 0.8876 0.7033
Se 0.7517 0.7517 0.2967
Se 0.8876 0.5677 0.7033

Calculated values
For the formation energy without anion corrections, the calculation gives -1598 meV per atom. The calculation puts the calculated total energy at -64.1 eV per cell. As for the magnetic moment: 4.00 μB/f.u.